Na2LuPWO8 | meta-GGA SCAN | single point on PBEsol structure

Geometry as CIF:
```
data_Na2LuPWO8
_cell_length_a 11.305
_cell_length_b 11.305
_cell_length_c 11.305
_cell_angle_alpha 145.39
_cell_angle_beta 116.57
_cell_angle_gamma 74.31
_symmetry_space_group_name_H-M 'P 1'
_symmetry_Int_Tables_number 1
loop_
_symmetry_equiv_pos_as_xyz
'x,y,z'
loop_
_atom_site_label
_atom_site_type_symbol
_atom_site_fract_x
_atom_site_fract_y
_atom_site_fract_z
Na1 Na 0.094 0.660 0.445
Na2 Na 0.214 0.160 0.066
Na3 Na 0.286 0.352 0.945
Na4 Na 0.406 0.852 0.566
Na5 Na 0.594 0.148 0.434
Na6 Na 0.714 0.648 0.055
Na7 Na 0.786 0.840 0.934
Na8 Na 0.906 0.340 0.555
Lu1 Lu 0.180 0.750 0.930
Lu2 Lu 0.320 0.250 0.570
Lu3 Lu 0.680 0.750 0.430
Lu4 Lu 0.820 0.250 0.070
P1 P 0.067 0.250 0.317
P2 P 0.433 0.750 0.183
P3 P 0.567 0.250 0.817
P4 P 0.933 0.750 0.683
W1 W 0.076 0.826 0.250
W2 W 0.424 0.674 0.750
W3 W 0.576 0.326 0.250
W4 W 0.924 0.174 0.750
O1 O 0.057 0.326 0.247
O2 O 0.079 0.826 0.768
O3 O 0.101 0.188 0.831
O4 O 0.109 0.663 0.009
O5 O 0.143 0.423 0.578
O6 O 0.143 0.730 0.331
O7 O 0.155 0.077 0.221
O8 O 0.155 0.100 0.491
O9 O 0.345 0.565 0.922
O10 O 0.345 0.837 0.946
O11 O 0.357 0.688 0.587
O12 O 0.357 0.935 0.279
O13 O 0.391 0.400 0.554
O14 O 0.399 0.230 0.087
O15 O 0.421 0.189 0.747
O16 O 0.443 0.689 0.268
O17 O 0.557 0.311 0.732
O18 O 0.579 0.811 0.253
O19 O 0.601 0.770 0.913
O20 O 0.609 0.600 0.446
O21 O 0.643 0.065 0.721
O22 O 0.643 0.312 0.413
O23 O 0.655 0.163 0.054
O24 O 0.655 0.435 0.078
O25 O 0.845 0.900 0.509
O26 O 0.845 0.923 0.779
O27 O 0.857 0.270 0.669
O28 O 0.857 0.577 0.422
O29 O 0.891 0.337 0.991
O30 O 0.899 0.812 0.169
O31 O 0.921 0.174 0.232
O32 O 0.943 0.674 0.753
```

Summary:
As for the crystal system: orthorhombic. The formation energy from raw total energies comes out at -2.7876 eV/atom. The space-group type is Ibca (73). As for the energy: -17.69 eV/atom. The density of states at the Fermi level is 0.00 states/eV per cell. For the volume, the calculation gives 13.8 Å³ per atom.

NaLuPd6O8 | meta-GGA SCAN | single point on PBEsol structure

Geometry as CIF:
```
data_NaLuPd6O8
_cell_length_a 5.703
_cell_length_b 5.703
_cell_length_c 5.703
_cell_angle_alpha 90.00
_cell_angle_beta 90.00
_cell_angle_gamma 90.00
_symmetry_space_group_name_H-M 'P 1'
_symmetry_Int_Tables_number 1
loop_
_symmetry_equiv_pos_as_xyz
'x,y,z'
loop_
_atom_site_label
_atom_site_type_symbol
_atom_site_fract_x
_atom_site_fract_y
_atom_site_fract_z
Na1 Na 0.000 0.000 0.000
Lu1 Lu 0.500 0.500 0.500
Pd1 Pd 0.000 0.500 0.251
Pd2 Pd 0.000 0.500 0.749
Pd3 Pd 0.251 0.000 0.500
Pd4 Pd 0.500 0.251 0.000
Pd5 Pd 0.500 0.749 0.000
Pd6 Pd 0.749 0.000 0.500
O1 O 0.263 0.263 0.263
O2 O 0.263 0.263 0.737
O3 O 0.263 0.737 0.263
O4 O 0.263 0.737 0.737
O5 O 0.737 0.263 0.263
O6 O 0.737 0.263 0.737
O7 O 0.737 0.737 0.263
O8 O 0.737 0.737 0.737
```

Summary:
As for the crystal system: cubic. The formation energy from raw total energies comes out at -1.3210 eV/atom. The space-group type is Pm-3 (200). As for the energy: -20.45 eV/atom. The density of states at the Fermi level is 2.47 states/eV per cell. For the volume, the calculation gives 11.6 Å³ per atom.

NaLuSiO4 | meta-GGA SCAN | single point on PBEsol structure

Geometry as CIF:
```
data_NaLuSiO4
_cell_length_a 10.964
_cell_length_b 6.253
_cell_length_c 5.085
_cell_angle_alpha 90.00
_cell_angle_beta 90.00
_cell_angle_gamma 90.00
_symmetry_space_group_name_H-M 'P 1'
_symmetry_Int_Tables_number 1
loop_
_symmetry_equiv_pos_as_xyz
'x,y,z'
loop_
_atom_site_label
_atom_site_type_symbol
_atom_site_fract_x
_atom_site_fract_y
_atom_site_fract_z
Na1 Na 0.000 0.000 0.000
Na2 Na 0.000 0.500 0.000
Na3 Na 0.500 0.000 0.500
Na4 Na 0.500 0.500 0.500
Lu1 Lu 0.221 0.250 0.494
Lu2 Lu 0.279 0.750 0.994
Lu3 Lu 0.721 0.250 0.006
Lu4 Lu 0.779 0.750 0.506
Si1 Si 0.101 0.750 0.556
Si2 Si 0.399 0.250 0.056
Si3 Si 0.601 0.750 0.944
Si4 Si 0.899 0.250 0.444
O1 O 0.039 0.250 0.341
O2 O 0.116 0.750 0.239
O3 O 0.175 0.548 0.701
O4 O 0.175 0.952 0.701
O5 O 0.325 0.048 0.201
O6 O 0.325 0.452 0.201
O7 O 0.384 0.250 0.739
O8 O 0.461 0.750 0.841
O9 O 0.539 0.250 0.159
O10 O 0.616 0.750 0.261
O11 O 0.675 0.548 0.799
O12 O 0.675 0.952 0.799
O13 O 0.825 0.048 0.299
O14 O 0.825 0.452 0.299
O15 O 0.884 0.250 0.761
O16 O 0.961 0.750 0.659
```

Summary:
As for the crystal system: orthorhombic. The formation energy from raw total energies comes out at -3.2868 eV/atom. The space-group type is Pnma (62). As for the energy: -16.79 eV/atom. The density of states at the Fermi level is 0.00 states/eV per cell. For the volume, the calculation gives 12.5 Å³ per atom.

NaLuS2 | meta-GGA SCAN | single point on PBEsol structure

Geometry as CIF:
```
data_NaLuS2
_cell_length_a 6.945
_cell_length_b 6.945
_cell_length_c 6.945
_cell_angle_alpha 32.15
_cell_angle_beta 32.15
_cell_angle_gamma 32.15
_symmetry_space_group_name_H-M 'P 1'
_symmetry_Int_Tables_number 1
loop_
_symmetry_equiv_pos_as_xyz
'x,y,z'
loop_
_atom_site_label
_atom_site_type_symbol
_atom_site_fract_x
_atom_site_fract_y
_atom_site_fract_z
Na1 Na 0.000 0.000 0.000
Lu1 Lu 0.500 0.500 0.500
S1 S 0.241 0.241 0.241
S2 S 0.759 0.759 0.759
```

Summary:
As for the crystal system: trigonal. The formation energy from raw total energies comes out at -2.1155 eV/atom. The space-group type is R-3m (166). As for the energy: -21.82 eV/atom. The density of states at the Fermi level is 0.00 states/eV per cell. For the volume, the calculation gives 21.1 Å³ per atom.

Lu2Nb2O7 | meta-GGA SCAN | single point on PBEsol structure

Geometry as CIF:
```
data_Lu2Nb2O7
_cell_length_a 7.149
_cell_length_b 7.149
_cell_length_c 7.149
_cell_angle_alpha 60.00
_cell_angle_beta 60.00
_cell_angle_gamma 60.00
_symmetry_space_group_name_H-M 'P 1'
_symmetry_Int_Tables_number 1
loop_
_symmetry_equiv_pos_as_xyz
'x,y,z'
loop_
_atom_site_label
_atom_site_type_symbol
_atom_site_fract_x
_atom_site_fract_y
_atom_site_fract_z
Lu1 Lu 0.000 0.000 0.000
Lu2 Lu 0.000 0.000 0.500
Lu3 Lu 0.000 0.500 0.000
Lu4 Lu 0.500 0.000 0.000
Nb1 Nb 0.000 0.500 0.500
Nb2 Nb 0.500 0.000 0.500
Nb3 Nb 0.500 0.500 0.000
Nb4 Nb 0.500 0.500 0.500
O1 O 0.125 0.125 0.125
O2 O 0.149 0.149 0.601
O3 O 0.149 0.601 0.149
O4 O 0.149 0.601 0.601
O5 O 0.399 0.399 0.851
O6 O 0.399 0.851 0.399
O7 O 0.399 0.851 0.851
O8 O 0.601 0.149 0.149
O9 O 0.601 0.149 0.601
O10 O 0.601 0.601 0.149
O11 O 0.851 0.399 0.399
O12 O 0.851 0.399 0.851
O13 O 0.851 0.851 0.399
O14 O 0.875 0.875 0.875
```

Summary:
As for the crystal system: cubic. The formation energy from raw total energies comes out at -3.2603 eV/atom. The space-group type is Fd-3m (227). As for the energy: -23.31 eV/atom. The density of states at the Fermi level is 2.21 states/eV per cell. For the volume, the calculation gives 11.7 Å³ per atom.

LuNbRu2 | meta-GGA SCAN | single point on PBEsol structure

Geometry as CIF:
```
data_LuNbRu2
_cell_length_a 4.525
_cell_length_b 4.525
_cell_length_c 4.525
_cell_angle_alpha 60.00
_cell_angle_beta 60.00
_cell_angle_gamma 60.00
_symmetry_space_group_name_H-M 'P 1'
_symmetry_Int_Tables_number 1
loop_
_symmetry_equiv_pos_as_xyz
'x,y,z'
loop_
_atom_site_label
_atom_site_type_symbol
_atom_site_fract_x
_atom_site_fract_y
_atom_site_fract_z
Lu1 Lu 0.000 0.000 0.000
Nb1 Nb 0.500 0.500 0.500
Ru1 Ru 0.250 0.250 0.250
Ru2 Ru 0.750 0.750 0.750
```

Summary:
As for the crystal system: cubic. The space-group type is Fm-3m (225). As for the energy: -40.10 eV/atom. The density of states at the Fermi level is 0.51 states/eV per cell. The formation energy comes out at -568 meV/atom. For the volume, the calculation gives 16.4 Å³ per atom.

Which of these has the lowest energy? LuNbRu2